[1]
# NpTlAgSe3 | Alexandria via LeMat-Bulk | GGA-PBE | relaxed
data_NpTlAgSe3
_cell_length_a 8.914
_cell_length_b 4.207
_cell_length_c 9.584
_cell_angle_alpha 90.00
_cell_angle_beta 106.40
_cell_angle_gamma 90.00
_symmetry_space_group_name_H-M 'P 1 21/m 1'
_symmetry_Int_Tables_number 11
loop_
_symmetry_equiv_pos_as_xyz
'x,y,z'
'-x,-y,-z'
'-x,y+1/2,-z'
'x,-y+1/2,z'
loop_
_atom_site_label
_atom_site_type_symbol
_atom_site_fract_x
_atom_site_fract_y
_atom_site_fract_z
Np1 Np 0.177 0.250 0.156
Tl1 Tl 0.297 0.750 0.750
Ag1 Ag 0.422 0.750 0.403
Se1 Se 0.042 0.250 0.847
Se2 Se 0.256 0.250 0.459
Se3 Se 0.377 0.750 0.118
# DOS at the Fermi energy: 9.3 states/eV/f.u.
# E: -65.7 eV/cell
# formation energy (no corrections): -68.1 kJ per mole of atoms

***

[2]
# Hg2PbF | Alexandria via LeMat-Bulk | GGA-PBE | relaxed
data_Hg2PbF
_cell_length_a 3.4224
_cell_length_b 3.4224
_cell_length_c 29.1763
_cell_angle_alpha 90.00
_cell_angle_beta 90.00
_cell_angle_gamma 120.00
_symmetry_space_group_name_H-M 'R -3 m'
_symmetry_Int_Tables_number 166
_symmetry_space_group_name_Hall '-R 3 2"'
loop_
_atom_site_label
_atom_site_type_symbol
_atom_site_fract_x
_atom_site_fract_y
_atom_site_fract_z
Hg1 Hg 0.0000 0.0000 0.1042
Pb1 Pb 0.0000 0.0000 0.0000
F1 F 0.0000 0.0000 0.5000
# DOS at the Fermi energy: 1.0 states/eV/f.u.
# E: -25.2 eV/cell
# formation energy (no corrections): -53.3 kJ per mole of atoms

***

Question: Look up the formation energy (no corrections) of the first one.
Answer: -68.1 kJ per mole of atoms